(1)
{
  "formula": "CoAg2Hg",
  "functional": "GGA-PBE",
  "state": "relaxed",
  "spacegroup": "I-4m2",
  "cell": [[-2.0880, 2.0880, 3.9280], [2.0880, -2.0880, 3.9280], [2.0880, 2.0880, -3.9280]],
  "species": ["Co", "Ag", "Ag", "Hg"],
  "fractional_positions": [[0.0000, 0.0000, 0.0000], [0.5000, 0.5000, 0.0000], [0.7500, 0.2500, 0.5000], [0.2500, 0.7500, 0.5000]]
}

=====

(2)
{
  "formula": "CoAg2Hg",
  "functional": "GGA-PBE",
  "state": "relaxed",
  "spacegroup": "C2/m",
  "cell": [[4.9465, -1.4470, 0.0000], [4.9465, 1.4470, 0.0000], [-1.0920, 0.0000, 4.7858]],
  "species": ["Co", "Ag", "Ag", "Hg"],
  "fractional_positions": [[0.0000, 0.0000, 0.0000], [0.2637, 0.2637, 0.7642], [0.7363, 0.7363, 0.2358], [0.5000, 0.5000, 0.5000]]
}

=====

(3)
{
  "formula": "CoAg2Hg",
  "functional": "GGA-PBE",
  "state": "relaxed",
  "spacegroup": "P4/mmm",
  "cell": [[4.0178, 0.0000, 0.0000], [0.0000, 4.0178, 0.0000], [0.0000, 0.0000, 4.2505]],
  "species": ["Co", "Ag", "Ag", "Hg"],
  "fractional_positions": [[0.0000, 0.0000, 0.0000], [0.0000, 0.5000, 0.5000], [0.5000, 0.0000, 0.5000], [0.5000, 0.5000, 0.0000]]
}

=====

(4)
{
  "formula": "CoAgHg",
  "functional": "GGA-PBE",
  "state": "relaxed",
  "spacegroup": "Cm",
  "de_polymorph_mev_per_atom": 0,
  "cell": [[6.0985, -1.4611, 0.0000], [6.0985, 1.4611, 0.0000], [-0.6839, 0.0000, 2.8409]],
  "species": ["Co", "Ag", "Hg"],
  "fractional_positions": [[0.0000, 0.0000, 0.0000], [0.3499, 0.3499, 0.3515], [0.6577, 0.6577, 0.6575]]
}

=====

(5)
{
  "formula": "CoAgHg3",
  "functional": "GGA-PBE",
  "state": "relaxed",
  "spacegroup": "Pm-3m",
  "de_polymorph_mev_per_atom": 0,
  "cell": [[4.9936, 0.0000, 0.0000], [0.0000, 4.9936, 0.0000], [0.0000, 0.0000, 4.9936]],
  "species": ["Co", "Ag", "Hg", "Hg", "Hg"],
  "fractional_positions": [[0.0000, 0.0000, 0.0000], [0.5000, 0.5000, 0.5000], [0.0000, 0.0000, 0.5000], [0.0000, 0.5000, 0.0000], [0.5000, 0.0000, 0.0000]]
}

=====

(6)
{
  "formula": "Co2AgHg",
  "functional": "GGA-PBE",
  "state": "relaxed",
  "spacegroup": "P2/m",
  "cell": [[2.8277, 0.0000, 0.0000], [0.0000, 3.9155, 0.0000], [-0.0280, 0.0000, 5.5826]],
  "species": ["Co", "Co", "Ag", "Hg"],
  "fractional_positions": [[0.0006, 0.0000, 0.2218], [0.9994, 0.0000, 0.7782], [0.5000, 0.5000, 0.0000], [0.5000, 0.5000, 0.5000]]
}

=====

(7)
{
  "formula": "Co2AgHg",
  "functional": "GGA-PBE",
  "state": "relaxed",
  "spacegroup": "I4/mmm",
  "cell": [[-1.9772, 1.9772, 3.9036], [1.9772, -1.9772, 3.9036], [1.9772, 1.9772, -3.9036]],
  "species": ["Co", "Co", "Ag", "Hg"],
  "fractional_positions": [[0.2500, 0.7500, 0.5000], [0.7500, 0.2500, 0.5000], [0.0000, 0.0000, 0.0000], [0.5000, 0.5000, 0.0000]]
}

=====

(8)
{
  "formula": "Co2AgHg",
  "functional": "GGA-PBE",
  "state": "relaxed",
  "spacegroup": "C2/m",
  "cell": [[4.6090, -1.4419, 0.0000], [4.6090, 1.4419, 0.0000], [-0.9957, 0.0000, 4.6870]],
  "species": ["Co", "Co", "Ag", "Hg"],
  "fractional_positions": [[0.2501, 0.2501, 0.2226], [0.7499, 0.7499, 0.7774], [0.5000, 0.5000, 0.0000], [0.0000, 0.0000, 0.5000]]
}

=====

no.,formation energy (eV per atom)
1,0.3650
2,0.3311
3,0.3466
4,0.4054
5,0.5135
6,0.5144
7,0.5032
8,0.5154